A plane-wave DFT calculation with PBE-GGA was carried out for a relaxed Ba2ZrSi crystal.

DOS(E_F)   4.05 states/eV/f.u.
Volume   122 Å³/f.u.
Total energy   -4.026 eV/atom

Unit cell a=6.361 b=6.361 c=6.361 alpha=136.07 beta=136.06 gamma=63.88
Site moments in Bohr magnetons follow the coordinates.
Sites, in units of the cell vectors:
Ba (0.999, 0.999, 0.000)  0.06
Ba (0.501, 0.501, 0.000)  0.06
Zr (0.250, 0.750, 0.500)  0.60
Si (0.750, 0.250, 0.500)  -0.03